First-principles (GGA-PBE) data for a relaxed Hg2SbPb crystal, as listed in Alexandria via LeMat-Bulk.

Output
Formation energy without anion corrections in eV/atom: 0.0836
Space group: Immm (71)

Cell and atoms, written as POSCAR:
```
Hg2SbPb
1.0
3.408 0.000 0.000
0.000 5.990 0.000
0.000 0.000 11.126
Hg Sb Pb
4 2 2
Direct
0.000 0.000 0.244
0.000 0.000 0.756
0.500 0.500 0.256
0.500 0.500 0.744
0.000 0.500 0.500
0.500 0.000 0.000
0.000 0.500 0.000
0.500 0.000 0.500
```



First-principles (GGA-PBE) data for a relaxed Hg2SbPb crystal, as listed in Alexandria via LeMat-Bulk.

Output
Formation energy without anion corrections in eV/atom: 0.0984
Space group: R3m (160)

Cell and atoms, written as POSCAR:
```
Hg2SbPb
1.0
4.785 0.000 0.000
-2.393 4.144 0.000
0.000 0.000 18.219
Hg Sb Pb
6 3 3
Direct
0.000 0.000 0.000
0.000 0.000 0.184
0.333 0.667 0.667
0.333 0.667 0.850
0.667 0.333 0.333
0.667 0.333 0.517
0.000 0.000 0.584
0.333 0.667 0.250
0.667 0.333 0.917
0.000 0.000 0.761
0.333 0.667 0.428
0.667 0.333 0.095
```



First-principles (GGA-PBE) data for a relaxed Hg12Sb3Pb5 crystal, as listed in Alexandria via LeMat-Bulk.

Output
Formation energy without anion corrections in eV/atom: 0.1686
Space group: Ia-3d (230)

Cell and atoms, written as POSCAR:
```
Hg12Sb3Pb5
1.0
-8.752 8.752 8.752
8.752 -8.752 8.752
8.752 8.752 -8.752
Hg Sb Pb
48 12 20
Direct
0.065 0.235 0.134
0.065 0.330 0.932
0.068 0.634 0.398
0.068 0.935 0.670
0.102 0.735 0.670
0.102 0.866 0.432
0.134 0.065 0.235
0.134 0.568 0.898
0.170 0.235 0.602
0.170 0.435 0.568
0.235 0.134 0.065
0.235 0.602 0.170
0.265 0.330 0.898
0.265 0.435 0.366
0.330 0.898 0.265
0.330 0.932 0.065
0.366 0.265 0.435
0.366 0.602 0.932
0.398 0.068 0.634
0.398 0.830 0.765
0.432 0.102 0.866
0.432 0.830 0.565
0.435 0.366 0.265
0.435 0.568 0.170
0.565 0.432 0.830
0.565 0.634 0.735
0.568 0.170 0.435
0.568 0.898 0.134
0.602 0.170 0.235
0.602 0.932 0.366
0.634 0.398 0.068
0.634 0.735 0.565
0.670 0.068 0.935
0.670 0.102 0.735
0.735 0.565 0.634
0.735 0.670 0.102
0.765 0.398 0.830
0.765 0.866 0.935
0.830 0.565 0.432
0.830 0.765 0.398
0.866 0.432 0.102
0.866 0.935 0.765
0.898 0.134 0.568
0.898 0.265 0.330
0.932 0.065 0.330
0.932 0.366 0.602
0.935 0.670 0.068
0.935 0.765 0.866
0.125 0.250 0.375
0.125 0.375 0.750
0.250 0.375 0.125
0.250 0.875 0.625
0.375 0.125 0.250
0.375 0.750 0.125
0.625 0.250 0.875
0.625 0.875 0.750
0.750 0.125 0.375
0.750 0.625 0.875
0.875 0.625 0.250
0.875 0.750 0.625
0.000 0.000 0.000
0.000 0.000 0.500
0.000 0.500 0.000
0.000 0.500 0.500
0.125 0.750 0.875
0.125 0.875 0.250
0.250 0.125 0.875
0.250 0.625 0.375
0.375 0.250 0.625
0.375 0.625 0.750
0.500 0.000 0.000
0.500 0.000 0.500
0.500 0.500 0.000
0.500 0.500 0.500
0.625 0.375 0.250
0.625 0.750 0.375
0.750 0.375 0.625
0.750 0.875 0.125
0.875 0.125 0.750
0.875 0.250 0.125
```



Which of these has the highest formation energy without anion corrections? Hg12Sb3Pb5



Number 1 is which compound? Hg2SbPb